DFT (GGA-PBE) results for an optimized crystal structure of SrZnAsHO5.

a b c (Å): 6.041 7.595 9.268
angles (deg): 90.00 90.00 90.00
Atoms (fractional coordinates):
Sr: 0.026 0.135 0.169
Sr: 0.474 0.865 0.669
Sr: 0.526 0.365 0.831
Sr: 0.974 0.635 0.331
Zn: 0.240 0.262 0.506
Zn: 0.260 0.738 0.006
Zn: 0.740 0.238 0.494
Zn: 0.760 0.762 0.994
As: 0.011 0.621 0.684
As: 0.489 0.379 0.184
As: 0.511 0.879 0.316
As: 0.989 0.121 0.816
H: 0.011 0.995 0.493
H: 0.489 0.005 0.993
H: 0.511 0.505 0.507
H: 0.989 0.495 0.007
O: 0.004 0.105 0.435
O: 0.012 0.943 0.932
O: 0.068 0.795 0.572
O: 0.235 0.145 0.725
O: 0.241 0.607 0.794
O: 0.259 0.393 0.294
O: 0.265 0.855 0.225
O: 0.432 0.205 0.072
O: 0.488 0.057 0.432
O: 0.496 0.895 0.935
O: 0.504 0.395 0.565
O: 0.512 0.557 0.068
O: 0.568 0.705 0.428
O: 0.735 0.355 0.275
O: 0.741 0.893 0.206
O: 0.759 0.107 0.706
O: 0.765 0.645 0.775
O: 0.932 0.295 0.928
O: 0.988 0.443 0.568
O: 0.996 0.605 0.065

Computed properties:
Raw total energy = -5.748 eV per atom
Symmetry = P2_12_12_1
Volume = 106.3 Å³/f.u.